Computed, not measured: TaNiGe2 after structural relaxation at the PBE level of DFT.

* VASP energy: -25.5 eV/cell
* V: 63.09 Å³/cell

Lattice parameters (Å, degrees): 4.4684 4.4684 4.4684 60.00 60.00 60.00
Atoms (fractional coordinates):
1 Ta 0.0000 0.0000 0.0000
2 Ni 0.2500 0.2500 0.2500
3 Ge 0.5000 0.5000 0.5000
4 Ge 0.7500 0.7500 0.7500

=====

Computed, not measured: BeNbCoBi after structural relaxation at the PBE level of DFT.

* polymorph energy (0 for the lowest one): 0.000 eV/f.u.
* V: 63.55 Å³/cell

Lattice parameters (Å, degrees): 4.4794 4.4794 4.4794 60.00 60.00 60.00
Atoms (fractional coordinates):
1 Be 0.0000 0.0000 0.0000
2 Nb 0.7500 0.7500 0.7500
3 Co 0.5000 0.5000 0.5000
4 Bi 0.2500 0.2500 0.2500

=====

Computed, not measured: PrThSc after structural relaxation at the PBE level of DFT.

* polymorph energy (0 for the lowest one): 0.000 eV/f.u.
* V: 106.02 Å³/cell
* ΔE_f: 695.8 meV/atom

Lattice parameters (Å, degrees): 5.3126 5.3126 5.3126 60.00 60.00 60.00
Atoms (fractional coordinates):
1 Pr 0.0000 0.0000 0.0000
2 Th 0.5000 0.5000 0.5000
3 Sc 0.2500 0.2500 0.2500